(1)
Compound: CuHI3
Source: Alexandria via LeMat-Bulk
Functional: PBE
Structure: relaxed

abc: 5.091 5.091 5.091
angles: 90.00 90.00 90.00
Positions (direct):
Cu  0.000  0.000  0.000
H  0.500  0.500  0.500
I  0.000  0.500  0.500
I  0.500  0.000  0.500
I  0.500  0.500  0.000

Properties
M_tot = 0.0 μB/f.u.
Relative energy among the computed polymorphs = 0.944 eV per atom

(2)
Compound: Na2Ti3CuO8
Source: Alexandria via LeMat-Bulk
Functional: PBE
Structure: relaxed

abc: 6.654 6.654 6.654
angles: 53.70 53.70 53.70
Positions (direct):
Na  0.000  0.000  0.000
Na  0.365  0.365  0.365
Ti  0.492  0.999  0.999
Ti  0.999  0.492  0.999
Ti  0.999  0.999  0.492
Cu  0.577  0.577  0.577
O  0.206  0.745  0.745
O  0.229  0.229  0.229
O  0.258  0.258  0.804
O  0.258  0.804  0.258
O  0.745  0.206  0.745
O  0.745  0.745  0.206
O  0.774  0.774  0.774
O  0.804  0.258  0.258

Properties
M_tot = 1.0 μB/f.u.
E_form (uncorrected) = -2369 meV per atom

(3)
Compound: Al2SbTeI
Source: Alexandria via LeMat-Bulk
Functional: PBE
Structure: relaxed

abc: 5.783 5.783 5.741
angles: 90.00 90.00 90.00
Positions (direct):
Al  0.000  0.500  0.000
Al  0.500  0.000  0.000
Sb  0.000  0.000  0.500
Te  0.000  0.000  0.000
I  0.500  0.500  0.500

Properties
M_tot = 0.0 μB/f.u.
E_form (uncorrected) = 663 meV per atom